Compound: LiPaPd3
Source: Alexandria via LeMat-Bulk
Functional: PBE-GGA
Structure: optimized geometry

- Calculated formation energy: -0.42 eV/atom
- Calculated total energy: -29.08 eV per formula unit

a b c (Å): 5.3741 13.9684 5.2004
angles (deg): 90.00 90.00 90.00
Space group Cmcm (No. 63)
One atom of each set of equivalent atoms:
Li  0.0000  0.0304  0.2500 [4 per cell]
Pa  0.0000  0.3169  0.7500 [4 per cell]
Pd  0.0000  0.5000  0.0000 [4 per cell]
Pd  0.2488  0.1483  0.7500 [8 per cell]